(1)
First-principles (PBE) data for an optimized crystal structure of Mg8CdNi4, as listed in the Alexandria database.

The calculation puts the volume at 17.328 A^3/atom. The space group is I4/mmm, No. 139. The value obtained for the total magnetization is 0.000 μB/cell. As for the density of states at the Fermi level: 4.4 states/eV per cell. For the calculated formation energy, the calculation gives -0.092 eV per atom. The crystal system is tetragonal.

Cell lengths 5.391, 7.004, 7.004 Å; angles 81.48, 67.37, 67.37 degrees
Atoms (fractional coordinates):
Ni 0.000 0.000 0.500
Ni 0.000 0.500 0.000
Ni 0.500 0.000 0.500
Ni 0.500 0.500 0.000
Mg 0.000 0.675 0.325
Mg 0.721 0.779 0.779
Mg 0.325 0.675 0.675
Mg 0.279 0.221 0.221
Mg 0.000 0.325 0.675
Mg 0.675 0.325 0.325
Mg 0.500 0.779 0.221
Mg 0.500 0.221 0.779
Cd 0.000 0.000 0.000

=====

(2)
First-principles (PBE) data for an optimized crystal structure of Ac2RuO8, as listed in the Alexandria database.

The calculation puts the volume at 15.604 A^3/atom. The space group is C2/m, No. 12. The value obtained for the total magnetization is 1.982 μB/cell. As for the density of states at the Fermi level: 3.6 states/eV per cell. The formation energy without anion corrections comes out at -1779 meV per atom. The crystal system is monoclinic.

Cell lengths 4.656, 6.608, 6.608 Å; angles 69.79, 69.02, 69.02 degrees
Each line ends with the local moment (μB).
Atoms (fractional coordinates):
Ru 0.000 0.000 0.000  1.19
O 0.535 0.056 0.056  -0.03
O 0.060 0.687 0.037  0.16
O 0.465 0.944 0.944  -0.03
O 0.940 0.963 0.313  0.16
O 0.940 0.313 0.963  0.16
O 0.060 0.037 0.687  0.16
O 0.558 0.554 0.554  -0.02
O 0.442 0.446 0.446  -0.02
Ac 0.954 0.687 0.687  0.01
Ac 0.046 0.313 0.313  0.01

=====

(3)
First-principles (PBE) data for an optimized crystal structure of NaP2CS, as listed in the Alexandria database.

The calculation puts the volume at 22.878 A^3/atom. The space group is P4/mmm, No. 123. The value obtained for the total magnetization is 1.241 μB/cell. As for the density of states at the Fermi level: 5.3 states/eV per cell. The formation energy without anion corrections comes out at 2666 meV per atom. The crystal system is tetragonal.

Cell lengths 4.899, 4.899, 4.766 Å; angles 90.00, 90.00, 90.00 degrees
Each line ends with the local moment (μB).
Atoms (fractional coordinates):
P 0.500 0.000 0.000  -0.10
P 0.000 0.500 0.000  -0.10
Na 0.000 0.000 0.000  0.02
C 0.500 0.500 0.500  0.74
S 0.000 0.000 0.500  0.14

=====

(4)
First-principles (PBE) data for an optimized crystal structure of GaP2IrS, as listed in the Alexandria database.

The calculation puts the volume at 21.463 A^3/atom. The space group is P4/mmm, No. 123. The value obtained for the total magnetization is 0.000 μB/cell. As for the density of states at the Fermi level: 4.9 states/eV per cell. The formation energy without anion corrections comes out at 511 meV per atom. The crystal system is tetragonal.

Cell lengths 4.490, 4.490, 5.324 Å; angles 90.00, 90.00, 90.00 degrees
Atoms (fractional coordinates):
Ga 0.500 0.500 0.500
P 0.000 0.500 0.000
P 0.500 0.000 0.000
S 0.000 0.000 0.500
Ir 0.000 0.000 0.000